The following is a PBE calculation of a relaxed BaNa2Ge crystal, from Alexandria via LeMat-Bulk.

Unit cell a=12.219 b=12.219 c=12.219 alpha=17.98 beta=17.98 gamma=17.98
Positions (direct):
Ba  0.000  0.000  0.000
Na  0.107  0.107  0.107
Na  0.893  0.893  0.893
Ge  0.500  0.500  0.500

## Properties
- Formation energy from the elements: 0.3043 eV per atom
- Crystal system: trigonal
- Density of states at the Fermi level: 4.5 states/eV/f.u.